No. 1
Entry from Alexandria via LeMat-Bulk: a geometry-optimized TlMoHCl6 structure (GGA-PBE).

Computed properties:
space group	P1, No. 1
total energy	-34.80	eV per formula unit

```
TlMoHCl6
1.0
7.174 0.685 0.353
4.143 6.311 1.014
0.352 1.010 6.584
Cl H Mo Tl
6 1 1 1
Cartesian
8.471 6.923 3.310 Cl
3.042 4.542 5.048 Cl
8.831 3.416 2.853 Cl
5.813 2.556 4.707 Cl
4.687 4.003 1.976 Cl
2.813 1.137 5.268 Cl
9.419 5.952 4.492 H
3.710 2.550 3.618 Mo
7.060 1.630 0.882 Tl
```

---

No. 2
Entry from Alexandria via LeMat-Bulk: a geometry-optimized SnBi4PbS8 structure (GGA-PBE).

Computed properties:
formation energy from raw total energies	-341.5	meV per atom
space group	R3m, No. 160

```
SnBi4PbS8
1.0
8.214 0.000 0.000
4.107 7.114 0.000
4.107 2.371 7.212
S Pb Bi Sn
8 1 4 1
Cartesian
10.347 5.974 1.927 S
4.107 2.371 2.126 S
12.321 7.114 5.229 S
8.214 7.219 5.228 S
6.082 5.974 1.927 S
10.359 3.504 5.228 S
8.214 2.280 1.927 S
6.070 3.504 5.228 S
4.107 2.371 7.187 Pb
6.134 1.201 3.634 Bi
2.080 1.201 3.634 Bi
4.107 4.712 3.634 Bi
8.214 4.742 0.904 Bi
8.214 4.742 6.279 Sn
```

---

No. 3
Entry from Alexandria via LeMat-Bulk: a geometry-optimized Sm4CuAg structure (GGA-PBE).

Computed properties:
space group	P4/mmm, No. 123
polymorph energy (0 for the lowest one)	0	meV/atom
E_form	-117	meV/atom

```
Sm4CuAg
1.0
-2.938 -1.444 1.486
-1.231 -0.859 -3.267
5.931 -11.310 0.736
Ag Cu Sm
1 1 4
Cartesian
0.881 -6.806 -0.522 Ag
0.000 0.000 0.000 Cu
-1.282 -2.681 -0.791 Sm
3.045 -10.931 -0.253 Sm
2.055 -3.919 0.255 Sm
-0.292 -9.694 -1.299 Sm
```

---

No. 4
Entry from Alexandria via LeMat-Bulk: a geometry-optimized BaLuInHg structure (GGA-PBE).

Computed properties:
space group	F-43m, No. 216
E_form	-305	meV/atom

```
BaLuInHg
1.0
5.625 0.000 0.000
2.813 4.872 0.000
2.813 1.624 4.593
Ba Hg Lu In
1 1 1 1
Cartesian
2.813 1.624 1.148 Ba
0.000 0.000 0.000 Hg
8.438 4.872 3.445 Lu
5.625 3.248 2.297 In
```

---

No. 5
Entry from Alexandria via LeMat-Bulk: a geometry-optimized ScAgSbH2 structure (GGA-PBE).

Computed properties:
space group	P4/mmm, No. 123
total energy	-17.81	eV per formula unit

```
ScAgSbH2
1.0
4.030 0.000 0.000
0.000 5.609 0.000
0.000 0.000 4.030
H Sb Sc Ag
2 1 1 1
Cartesian
0.000 0.000 2.015 H
2.015 0.000 0.000 H
0.000 0.000 0.000 Sb
2.015 2.804 2.015 Sc
0.000 2.804 0.000 Ag
```

---

No. 6
Entry from Alexandria via LeMat-Bulk: a geometry-optimized LiMgBi2Se4 structure (GGA-PBE).

Computed properties:
formation energy from raw total energies	-638.0	meV per atom
space group	P2/m, No. 10

```
LiMgBi2Se4
1.0
-1.670 -1.411 -3.533
2.118 -6.825 1.724
-6.438 1.230 2.553
Se Bi Li Mg
4 2 1 1
Cartesian
0.073 -4.740 1.858 Se
-4.393 -0.856 2.419 Se
-4.197 -4.858 1.481 Se
-1.793 -2.148 -0.738 Se
-2.160 -2.798 2.138 Bi
-4.054 -0.090 -0.490 Bi
0.000 0.000 0.000 Li
0.224 -4.118 -0.905 Mg
```

---

No. 7
Entry from Alexandria via LeMat-Bulk: a geometry-optimized Y4InIr structure (GGA-PBE).

Computed properties:
space group	P2_1/c, No. 14
polymorph energy (0 for the lowest one)	211	meV/atom
E_form	-373	meV/atom

```
Y4InIr
1.0
6.934 0.000 -0.091
0.000 7.083 0.000
-0.184 0.000 7.473
Y In Ir
8 2 2
Cartesian
4.568 4.682 4.731 Y
2.181 2.401 2.652 Y
2.587 6.075 1.347 Y
1.101 5.942 4.776 Y
0.696 2.533 6.081 Y
5.649 1.141 2.606 Y
4.163 1.008 6.036 Y
6.054 4.549 1.302 Y
3.467 3.541 -0.045 In
0.000 0.000 0.000 In
3.375 0.000 3.691 Ir
-0.092 3.541 3.737 Ir
```

---

No. 8
Entry from Alexandria via LeMat-Bulk: a geometry-optimized Ca2PRh structure (GGA-PBE).

Computed properties:
space group	R-3m, No. 166
E_form	-325	meV/atom

```
Ca2PRh
1.0
8.315 0.002 0.001
7.536 3.514 0.001
7.536 1.671 3.091
Ca P Rh
2 1 1
Cartesian
11.719 2.599 1.550 Ca
23.362 5.181 3.089 Ca
5.847 1.297 0.773 P
17.541 3.890 2.320 Rh
```

---

No. 9
Entry from Alexandria via LeMat-Bulk: a geometry-optimized Er3Co2Ag structure (GGA-PBE).

Computed properties:
space group	P4/mmm, No. 123
E_form	-258	meV/atom

```
Er3Co2Ag
1.0
-1.670 -1.828 -2.208
1.882 -2.627 0.751
-7.044 -2.849 7.687
Co Ag Er
2 1 3
Cartesian
-5.827 -4.627 5.746 Co
-1.005 -2.677 0.484 Co
-3.416 -3.652 3.115 Ag
-4.900 -1.982 5.347 Er
-2.144 -0.867 2.339 Er
0.000 0.000 0.000 Er
```

---

No. 10
Entry from Alexandria via LeMat-Bulk: a geometry-optimized KNiPt2 structure (GGA-PBE).

Computed properties:
space group	Cmmm, No. 65
polymorph energy (0 for the lowest one)	327	meV/atom
E_form	426	meV/atom

```
KNiPt2
1.0
5.251 -0.005 0.000
-2.170 4.782 0.000
0.000 0.000 2.734
Ni Pt K
1 2 1
Cartesian
-1.085 2.391 1.367 Ni
0.000 0.000 0.000 Pt
1.541 2.389 0.000 Pt
2.626 -0.002 1.367 K
```

---

No. 11
Entry from Alexandria via LeMat-Bulk: a geometry-optimized Tb3SmDyEr structure (GGA-PBE).

Computed properties:
space group	P2_1/m, No. 11
E_form	17	meV/atom

```
Tb3SmDyEr
1.0
5.028 -0.004 0.000
-2.519 7.553 0.000
0.000 0.000 10.071
Dy Er Tb Sm
2 2 6 2
Cartesian
0.000 0.000 0.000 Dy
0.000 0.000 5.036 Dy
-0.001 2.526 2.518 Er
2.510 5.024 7.553 Er
-0.001 2.530 7.553 Tb
2.511 2.517 10.071 Tb
2.511 2.517 5.036 Tb
-0.003 5.032 0.000 Tb
-0.003 5.032 5.035 Tb
2.509 5.019 2.518 Tb
-0.005 7.547 7.553 Sm
2.514 0.002 2.518 Sm
```

---

No. 12
Entry from Alexandria via LeMat-Bulk: a geometry-optimized CoHRu structure (GGA-PBE).

Computed properties:
space group	Pnma, No. 62
polymorph energy (0 for the lowest one)	34	meV/atom

```
CoHRu
1.0
-5.962 -2.888 -5.321
-1.285 -1.183 2.082
-2.525 3.950 0.685
Ru Co H
4 4 4
Cartesian
-6.923 -0.743 -2.034 Ru
-5.002 -2.119 -3.405 Ru
-2.849 0.621 -0.519 Ru
-4.770 1.997 0.851 Ru
-8.244 -0.111 -4.265 Co
-1.528 -0.011 1.712 Co
-5.123 1.114 -1.643 Co
-4.649 -1.236 -0.911 Co
-2.820 -1.078 -1.467 H
-6.952 0.956 -1.087 H
-3.127 1.080 1.344 H
-6.645 -1.202 -3.898 H
```

---

Copy entry 8 word for word.
Entry from Alexandria via LeMat-Bulk: a geometry-optimized Ca2PRh structure (GGA-PBE).

Computed properties:
space group	R-3m, No. 166
E_form	-325	meV/atom

```
Ca2PRh
1.0
8.315 0.002 0.001
7.536 3.514 0.001
7.536 1.671 3.091
Ca P Rh
2 1 1
Cartesian
11.719 2.599 1.550 Ca
23.362 5.181 3.089 Ca
5.847 1.297 0.773 P
17.541 3.890 2.320 Rh
```